Below is a PBEsol-optimized structure of BeZn2Br, with properties calculated at the meta-GGA SCAN level.

Unit cell a=2.6168 b=3.3282 c=7.7330 alpha=90.00 beta=90.00 gamma=90.00
With the nearest neighbours (Å) after each atom.
Element x y z (fractional)
Be (0.0000, 0.0000, 0.0000)  8 Zn 2.50, 2 Be 2.62
Zn (0.5000, 0.5000, 0.1726)  4 Be 2.50, 3 Zn 2.62-2.67
Zn (0.5000, 0.5000, 0.8274)  4 Be 2.50, 3 Zn 2.62-2.67
Br (0.0000, 0.0000, 0.5000)  2 Br 2.62

- Space group: Pmmm
- Energy: -12.436 eV per atom
- ΔE to the lowest computed polymorph: 0.070 eV per atom

Below is a PBEsol-optimized structure of BeZn2Br, with properties calculated at the meta-GGA SCAN level.

Unit cell a=3.0595 b=3.0595 c=7.3077 alpha=90.00 beta=90.00 gamma=90.00
With the nearest neighbours (Å) after each atom.
Element x y z (fractional)
Be (0.0000, 0.0000, 0.0000)  4 Br 2.55, 4 Zn 2.67
Zn (0.0000, 0.0000, 0.5833)  4 Zn 2.62
Zn (0.5000, 0.5000, 0.7856)  4 Zn 2.62, 4 Be 2.67, 1 Br 2.93
Br (0.5000, 0.5000, 0.1860)  4 Be 2.55

- Space group: P4mm
- Energy: -12.372 eV per atom
- ΔE to the lowest computed polymorph: 0.134 eV per atom

Below is a PBEsol-optimized structure of BeZn2Br, with properties calculated at the meta-GGA SCAN level.

Unit cell a=7.4015 b=7.4015 c=7.4015 alpha=25.53 beta=25.53 gamma=25.53
With the nearest neighbours (Å) after each atom.
Element x y z (fractional)
Be (0.0000, 0.0000, 0.0000)  6 Zn 2.43
Zn (0.2618, 0.2618, 0.2618)  3 Be 2.43
Zn (0.7382, 0.7382, 0.7382)  3 Be 2.43
Br (0.5000, 0.5000, 0.5000)  6 Zn 2.78

- Space group: R-3m
- Energy: -12.506 eV per atom
- ΔE to the lowest computed polymorph: 0.000 eV per atom

Below is a PBEsol-optimized structure of ZrBeBr2, with properties calculated at the meta-GGA SCAN level.

Unit cell a=4.9017 b=4.9017 c=6.7996 alpha=103.52 beta=103.52 gamma=39.66
With the nearest neighbours (Å) after each atom.
Element x y z (fractional)
Zr (0.0000, 0.0000, 0.0000)  3 Be 2.57-2.69, 4 Br 2.65-2.78
Be (0.2871, 0.2871, 0.0625)  2 Br 2.41, 3 Zr 2.57-2.69
Br (0.4974, 0.4974, 0.6952)  2 Zr 2.65
Br (0.7003, 0.7003, 0.2633)  2 Be 2.41

- Space group: Cm
- Energy: -18.866 eV per atom
- ΔE to the lowest computed polymorph: 0.093 eV per atom

Below is a PBEsol-optimized structure of ZrBe3Br, with properties calculated at the meta-GGA SCAN level.

Unit cell a=4.3180 b=4.3180 c=4.3180 alpha=90.00 beta=90.00 gamma=90.00
With the nearest neighbours (Å) after each atom.
Element x y z (fractional)
Zr (0.0000, 0.0000, 0.0000)  12 Be 3.05
Be (0.0000, 0.5000, 0.5000)  2 Br 2.16
Be (0.5000, 0.0000, 0.5000)  2 Br 2.16
Be (0.5000, 0.5000, 0.0000)  2 Br 2.16
Br (0.5000, 0.5000, 0.5000)  6 Be 2.16

- Space group: Pm-3m
- Energy: -11.349 eV per atom

Below is a PBEsol-optimized structure of ZrBeBr2, with properties calculated at the meta-GGA SCAN level.

Unit cell a=3.3009 b=4.3104 c=5.4661 alpha=90.00 beta=90.00 gamma=90.00
With the nearest neighbours (Å) after each atom.
Element x y z (fractional)
Zr (0.0000, 0.0000, 0.0000)  4 Br 2.71
Be (0.5000, 0.0000, 0.5000)  4 Br 2.71
Br (0.0000, 0.5000, 0.5000)  4 Be 2.71
Br (0.5000, 0.5000, 0.0000)  4 Zr 2.71

- Space group: Pmmm
- Energy: -18.400 eV per atom
- ΔE to the lowest computed polymorph: 0.559 eV per atom

Below is a PBEsol-optimized structure of ZrBeBr2, with properties calculated at the meta-GGA SCAN level.

Unit cell a=7.3736 b=7.3736 c=4.1791 alpha=97.57 beta=97.57 gamma=25.76
With the nearest neighbours (Å) after each atom.
Element x y z (fractional)
Zr (0.0000, 0.0000, 0.0000)  4 Be 2.66, 4 Br 2.72
Be (0.5000, 0.5000, 0.5000)  2 Br 2.63, 4 Zr 2.66
Br (0.3519, 0.3519, 0.8091)  1 Be 2.63, 2 Zr 2.72
Br (0.6481, 0.6481, 0.1909)  1 Be 2.63, 2 Zr 2.72

- Space group: C2/m
- Energy: -18.959 eV per atom
- ΔE to the lowest computed polymorph: 0.000 eV per atom

Below is a PBEsol-optimized structure of ZrBe2Br, with properties calculated at the meta-GGA SCAN level.

Unit cell a=4.8872 b=4.8872 c=4.8872 alpha=133.51 beta=133.51 gamma=67.86
With the nearest neighbours (Å) after each atom.
Element x y z (fractional)
Zr (0.0000, 0.0000, 0.0000)  8 Be 2.73-2.80, 4 Br 2.80
Be (0.5000, 0.5000, 0.0000)  4 Zr 2.73, 4 Br 2.80, 4 Be 2.80
Be (0.7500, 0.2500, 0.5000)  4 Br 2.73, 4 Be 2.80, 4 Zr 2.80
Br (0.2500, 0.7500, 0.5000)  8 Be 2.73-2.80, 4 Zr 2.80

- Space group: I-4m2
- Energy: -14.341 eV per atom